# 1
First-principles (PBE) data for crystalline BaZn4Cu at its relaxed geometry, as listed in Alexandria.

Summary:
- crystal system = monoclinic
- relative energy among the computed polymorphs (meV per atom) = 33

Lattice parameters (Å, degrees): 16.275 6.596 4.907 90.00 102.84 90.00
Space group C2/m (No. 12)
Asymmetric unit:
Ba 0.219 0.000 0.171 [4 per cell]
Zn 0.000 0.192 0.000 [4 per cell]
Zn 0.088 0.191 0.551 [8 per cell]
Zn 0.122 0.500 0.248 [4 per cell]
Cu 0.041 0.500 0.756 [4 per cell]

---

# 2
First-principles (PBE) data for crystalline Ba4Zn3Cu at its relaxed geometry, as listed in Alexandria.

Summary:
- crystal system = orthorhombic

Lattice parameters (Å, degrees): 4.659 5.056 11.973 90.00 90.00 90.00
Space group Pmm2 (No. 25)
Asymmetric unit:
Ba 0.000 0.000 0.000 [1 per cell]
Ba 0.000 0.500 0.489 [1 per cell]
Ba 0.500 0.000 0.704 [1 per cell]
Ba 0.500 0.500 0.206 [1 per cell]
Zn 0.000 0.500 0.799 [1 per cell]
Zn 0.500 0.000 0.397 [1 per cell]
Zn 0.500 0.500 0.905 [1 per cell]
Cu 0.000 0.000 0.302 [1 per cell]

---

# 3
First-principles (PBE) data for crystalline BaZnCu2 at its relaxed geometry, as listed in Alexandria.

Summary:
- crystal system = orthorhombic

Lattice parameters (Å, degrees): 3.360 3.520 7.068 90.00 90.00 90.00
Space group Pmmm (No. 47)
Asymmetric unit:
Ba 0.000 0.000 0.000 [1 per cell]
Zn 0.000 0.000 0.500 [1 per cell]
Cu 0.500 0.500 0.330 [2 per cell]

---

# 4
First-principles (PBE) data for crystalline BaZnCu2 at its relaxed geometry, as listed in Alexandria.

Summary:
- crystal system = orthorhombic

Lattice parameters (Å, degrees): 3.413 3.429 7.153 90.00 90.00 90.00
Space group Pmm2 (No. 25)
Asymmetric unit:
Ba 0.000 0.000 0.000 [1 per cell]
Zn 0.500 0.500 0.343 [1 per cell]
Cu 0.000 0.000 0.528 [1 per cell]
Cu 0.500 0.500 0.679 [1 per cell]

---

# 5
First-principles (PBE) data for crystalline BaZnCu4 at its relaxed geometry, as listed in Alexandria.

Summary:
- crystal system = cubic

Lattice parameters (Å, degrees): 7.477 7.477 7.477 90.00 90.00 90.00
Space group F-43m (No. 216)
Asymmetric unit:
Ba 0.000 0.000 0.000 [4 per cell]
Zn 0.250 0.250 0.250 [4 per cell]
Cu 0.122 0.122 0.622 [16 per cell]

---

# 6
First-principles (PBE) data for crystalline Ba2ZnCu2 at its relaxed geometry, as listed in Alexandria.

Summary:
- crystal system = tetragonal

Lattice parameters (Å, degrees): 6.222 6.222 7.645 90.00 90.00 90.00
Space group I4/mmm (No. 139)
Asymmetric unit:
Ba 0.000 0.500 0.250 [4 per cell]
Zn 0.000 0.000 0.000 [2 per cell]
Cu 0.000 0.000 0.343 [4 per cell]

---

no.,formation enthalpy at 0 K (eV per atom),M_tot (μB per formula unit)
1,-0.098,0.00
2,-0.125,0.00
3,0.143,0.00
4,0.136,0.00
5,0.107,0.00
6,0.056,0.00